## one
## NaCoP2S (PBE)

Data for an optimized crystal structure of NaCoP2S.

abc: 4.220 4.220 5.284
angles: 90.00 90.00 90.00
Sites, in units of the cell vectors:
P: 0.000 0.500 0.000
P: 0.500 0.000 0.000
S: 0.000 0.000 0.500
Co: 0.000 0.000 0.000
Na: 0.500 0.500 0.500

## Properties
Crystal system: tetragonal

---

## two
## NaCoP2S (PBE)

Data for an optimized crystal structure of NaCoP2S.

abc: 4.734 4.734 4.722
angles: 90.00 90.00 90.00
Last column: magnetic moment on the atom in μB.
Sites, in units of the cell vectors:
P: 0.000 0.500 0.000  -0.03
P: 0.500 0.000 0.000  -0.03
S: 0.000 0.000 0.500  -0.05
Co: 0.500 0.500 0.500  0.17
Na: 0.000 0.000 0.000  0.00

## Properties
Crystal system: tetragonal

---

Bottom line: one, by a margin of 1733 meV/atom.

---

## one
## NaCoPd2 (PBE)

Data for an optimized crystal structure of NaCoPd2.

abc: 3.955 3.955 9.243
angles: 77.65 77.65 90.00
Last column: magnetic moment on the atom in μB.
Sites, in units of the cell vectors:
Na: 0.500 0.500 0.000  -0.01
Na: 0.250 0.750 0.500  -0.01
Co: 0.000 0.000 0.000  2.02
Co: 0.750 0.250 0.500  2.02
Pd: 0.644 0.125 0.250  0.21
Pd: 0.106 0.625 0.250  0.20
Pd: 0.375 0.356 0.750  0.21
Pd: 0.875 0.894 0.750  0.21

## Properties
Crystal system: tetragonal

---

## two
## NaCoPd2 (PBE)

Data for an optimized crystal structure of NaCoPd2.

abc: 4.413 4.413 4.413
angles: 60.00 60.00 60.00
Last column: magnetic moment on the atom in μB.
Sites, in units of the cell vectors:
Na: 0.000 0.000 0.000  -0.01
Co: 0.500 0.500 0.500  2.04
Pd: 0.250 0.250 0.250  0.17
Pd: 0.750 0.750 0.750  0.17

## Properties
Crystal system: cubic

---

Bottom line: two, by a margin of 318 meV/atom.

---

## one
## NaCo2Pd (PBE)

Data for an optimized crystal structure of NaCo2Pd.

abc: 4.332 4.332 4.332
angles: 60.00 60.00 60.00
Last column: magnetic moment on the atom in μB.
Sites, in units of the cell vectors:
Na: 0.000 0.000 0.000  -0.01
Co: 0.250 0.250 0.250  1.80
Co: 0.750 0.750 0.750  1.80
Pd: 0.500 0.500 0.500  0.29

## Properties
Crystal system: cubic

---

## two
## NaCo2Pd (PBE)

Data for an optimized crystal structure of NaCo2Pd.

abc: 3.737 3.737 9.774
angles: 78.98 78.98 90.00
Last column: magnetic moment on the atom in μB.
Sites, in units of the cell vectors:
Na: 0.500 0.500 0.000  -0.01
Na: 0.250 0.750 0.500  -0.01
Co: 0.045 0.125 0.250  1.88
Co: 0.705 0.625 0.250  1.87
Co: 0.375 0.955 0.750  1.91
Co: 0.875 0.295 0.750  1.90
Pd: 0.000 0.000 0.000  0.17
Pd: 0.750 0.250 0.500  0.17

## Properties
Crystal system: tetragonal

---

Bottom line: one, by a margin of 85 meV/atom.

---

## one
## NaCo2Pt (PBE)

Data for an optimized crystal structure of NaCo2Pt.

abc: 3.952 3.952 9.392
angles: 77.85 77.85 90.00
Last column: magnetic moment on the atom in μB.
Sites, in units of the cell vectors:
Na: 0.500 0.500 0.000  -0.01
Na: 0.250 0.750 0.500  -0.01
Co: 0.733 0.125 0.250  1.83
Co: 0.017 0.625 0.250  1.82
Co: 0.375 0.267 0.750  1.99
Co: 0.875 0.983 0.750  1.96
Pt: 0.000 0.000 0.000  0.27
Pt: 0.750 0.250 0.500  0.27

## Properties
Crystal system: tetragonal

---

## two
## NaCo2Pt (PBE)

Data for an optimized crystal structure of NaCo2Pt.

abc: 4.310 4.310 4.310
angles: 60.00 60.00 60.00
Last column: magnetic moment on the atom in μB.
Sites, in units of the cell vectors:
Na: 0.000 0.000 0.000  -0.01
Co: 0.250 0.250 0.250  1.80
Co: 0.750 0.750 0.750  1.80
Pt: 0.500 0.500 0.500  0.44

## Properties
Crystal system: cubic

---

Bottom line: two, by a margin of 207 meV/atom.

---

## one
## Rb2Na2Co (PBE)

Data for an optimized crystal structure of Rb2Na2Co.

abc: 8.300 8.300 6.489
angles: 90.00 90.00 90.00
Last column: magnetic moment on the atom in μB.
Sites, in units of the cell vectors:
Na: 0.348 0.848 0.000  -0.01
Na: 0.848 0.652 0.000  -0.01
Na: 0.652 0.152 0.000  -0.01
Na: 0.152 0.348 0.000  -0.01
Co: 0.000 0.000 0.000  1.99
Co: 0.500 0.500 0.000  1.99
Rb: 0.189 0.689 0.500  -0.01
Rb: 0.689 0.811 0.500  -0.01
Rb: 0.811 0.311 0.500  -0.01
Rb: 0.311 0.189 0.500  -0.01

## Properties
Crystal system: tetragonal

---

## two
## Rb2Na2Co (PBE)

Data for an optimized crystal structure of Rb2Na2Co.

abc: 7.441 7.441 6.908
angles: 57.41 57.41 90.00
Last column: magnetic moment on the atom in μB.
Sites, in units of the cell vectors:
Na: 0.324 0.324 0.351  0.01
Na: 0.676 0.676 0.649  0.01
Co: 0.000 0.000 0.000  -1.97
Rb: 0.750 0.250 0.500  0.01
Rb: 0.250 0.750 0.500  0.01

## Properties
Crystal system: tetragonal

---

Bottom line: one, by a margin of 83 meV/atom.

---

## one
## NaCoRe3 (PBE)

Data for an optimized crystal structure of NaCoRe3.

abc: 4.371 4.371 4.371
angles: 90.00 90.00 90.00
Sites, in units of the cell vectors:
Re: 0.000 0.500 0.000
Re: 0.000 0.000 0.500
Re: 0.500 0.000 0.000
Co: 0.500 0.500 0.500
Na: 0.000 0.000 0.000

## Properties
Crystal system: cubic

---

## two
## NaCoRe3 (PBE)

Data for an optimized crystal structure of NaCoRe3.

abc: 4.483 4.483 4.483
angles: 90.00 90.00 90.00
Sites, in units of the cell vectors:
Re: 0.000 0.500 0.000
Re: 0.000 0.000 0.500
Re: 0.500 0.000 0.000
Co: 0.000 0.000 0.000
Na: 0.500 0.500 0.500

## Properties
Crystal system: cubic

---

Bottom line: two, by a margin of 1560 meV/atom.

---

## one
## NaCo2Re (PBE)

Data for an optimized crystal structure of NaCo2Re.

abc: 6.762 6.762 5.525
angles: 52.27 52.27 90.00
Sites, in units of the cell vectors:
Re: 0.000 0.000 0.000
Re: 0.750 0.250 0.500
Co: 0.674 0.125 0.250
Co: 0.076 0.625 0.250
Co: 0.375 0.326 0.750
Co: 0.875 0.924 0.750
Na: 0.500 0.500 0.000
Na: 0.250 0.750 0.500

## Properties
Crystal system: tetragonal

---

## two
## NaCo2Re (PBE)

Data for an optimized crystal structure of NaCo2Re.

abc: 4.218 4.218 4.218
angles: 60.00 60.00 60.00
Last column: magnetic moment on the atom in μB.
Sites, in units of the cell vectors:
Re: 0.500 0.500 0.500  0.17
Co: 0.250 0.250 0.250  0.97
Co: 0.750 0.750 0.750  0.97
Na: 0.000 0.000 0.000  -0.01

## Properties
Crystal system: cubic

---

Bottom line: two, by a margin of 321 meV/atom.

---

## one
## NaCoRh3 (PBE)

Data for an optimized crystal structure of NaCoRh3.

abc: 4.415 4.415 4.415
angles: 90.00 90.00 90.00
Last column: magnetic moment on the atom in μB.
Sites, in units of the cell vectors:
Co: 0.500 0.500 0.500  -0.03
Rh: 0.000 0.500 0.000  -0.07
Rh: 0.000 0.000 0.500  -0.09
Rh: 0.500 0.000 0.000  -0.04
Na: 0.000 0.000 0.000  0.00

## Properties
Crystal system: cubic

---

## two
## NaCoRh3 (PBE)

Data for an optimized crystal structure of NaCoRh3.

abc: 4.539 4.539 4.539
angles: 90.00 90.00 90.00
Last column: magnetic moment on the atom in μB.
Sites, in units of the cell vectors:
Co: 0.000 0.000 0.000  1.68
Rh: 0.000 0.500 0.000  0.79
Rh: 0.000 0.000 0.500  1.21
Rh: 0.500 0.000 0.000  0.48
Na: 0.500 0.500 0.500  -0.01

## Properties
Crystal system: cubic

---

Bottom line: two, by a margin of 1254 meV/atom.